Computed, not measured: a relaxed Ac2BRh6Pb crystal at the PBE level of DFT.

## Properties
- D(E_F): 0.911 states/eV per atom
- Symmetry: Pmmn, No. 59
- Theoretical density: 10.9 g cm⁻³
- Total magnetization: 0.0 μB/f.u.
- Formation energy from the elements: -0.45 eV per atom
- Final energy: -6.724 eV/atom

Lattice parameters (Å, degrees): 5.932 7.519 8.805 90.00 90.00 90.00
Atoms (fractional coordinates):
Ac  0.500  0.717  0.275
Ac  0.000  0.283  0.775
Ac  0.500  0.717  0.725
Ac  0.000  0.283  0.225
B  0.500  0.171  0.500
B  0.000  0.829  0.000
Rh  0.500  0.128  0.263
Rh  0.500  0.128  0.737
Rh  0.000  0.872  0.237
Rh  0.000  0.872  0.763
Rh  0.228  0.996  0.500
Rh  0.772  0.996  0.500
Rh  0.265  0.378  0.500
Rh  0.735  0.378  0.500
Rh  0.765  0.622  0.000
Rh  0.235  0.622  0.000
Rh  0.272  0.004  0.000
Rh  0.728  0.004  0.000
Pb  0.000  0.669  0.500
Pb  0.500  0.331  0.000